1.
The following is a DFT calculation (PBE-GGA) of a relaxed structure of Zn2NiRh.

Its total magnetic moment is 0.00 Bohr magnetons per cell. The energy relative to the elements is -0.203 eV/atom. The calculated volume comes out at 13.3 Å³/atom.

Cell lengths 8.460, 2.824, 4.574 Å; angles 90.00, 103.89, 90.00 degrees
Space group C2/m (No. 12)
Inequivalent atoms, fractional coordinates:
Zn  0.246  0.000  0.242 x4
Ni  0.000  0.500  0.000 x2
Rh  0.000  0.000  0.500 x2


2.
The following is a DFT calculation (PBE-GGA) of a relaxed structure of Zn2NiRh.

Its total magnetic moment is 0.35 Bohr magnetons per cell. The energy relative to the elements is 0.002 eV/atom. The calculated volume comes out at 13.6 Å³/atom.

Cell lengths 2.856, 4.475, 8.534 Å; angles 90.00, 90.00, 90.00 degrees
Space group Cmm2 (No. 35)
Inequivalent atoms, fractional coordinates:
Zn  0.000  0.000  0.000 x2
Zn  0.000  0.500  0.271 x2
Ni  0.000  0.500  0.768 x2
Rh  0.000  0.000  0.522 x2


3.
The following is a DFT calculation (PBE-GGA) of a relaxed structure of ZnNiRh2.

Its total magnetic moment is 0.00 Bohr magnetons per cell. The energy relative to the elements is -0.124 eV/atom. The calculated volume comes out at 13.4 Å³/atom.

Cell lengths 8.838, 2.733, 4.509 Å; angles 90.00, 101.11, 90.00 degrees
Space group Cm (No. 8)
Inequivalent atoms, fractional coordinates:
Zn  0.000  0.000  0.000 x2
Ni  0.251  0.000  0.764 x2
Rh  0.004  0.500  0.509 x2
Rh  0.255  0.500  0.271 x2


4.
The following is a DFT calculation (PBE-GGA) of a relaxed structure of ZnNiRh2.

Its total magnetic moment is 0.00 Bohr magnetons per cell. The energy relative to the elements is -0.013 eV/atom. The calculated volume comes out at 13.6 Å³/atom.

Cell lengths 5.287, 8.708, 2.662 Å; angles 90.00, 117.59, 90.00 degrees
Space group C2/m (No. 12)
Inequivalent atoms, fractional coordinates:
Zn  0.000  0.000  0.000 x2
Ni  0.000  0.500  0.000 x2
Rh  0.250  0.250  0.500 x4


5.
The following is a DFT calculation (PBE-GGA) of a relaxed structure of ZnNi3Rh.

Its total magnetic moment is 3.32 Bohr magnetons per cell. The energy relative to the elements is 1.163 eV/atom. The calculation puts the relative energy among the computed polymorphs at 1.241 eV per atom. The calculated volume comes out at 18.5 Å³/atom.

Cell lengths 4.521, 4.521, 4.521 Å; angles 90.00, 90.00, 90.00 degrees
Space group Pm-3m (No. 221)
Inequivalent atoms, fractional coordinates:
Zn  0.000  0.000  0.000 x1
Ni  0.000  0.500  0.500 x3
Rh  0.500  0.500  0.500 x1


6.
The following is a DFT calculation (PBE-GGA) of a relaxed structure of ZnNi3Rh3.

Its total magnetic moment is 13.82 Bohr magnetons per cell. The energy relative to the elements is 0.131 eV/atom. The calculation puts the relative energy among the computed polymorphs at 0.167 eV per atom. The calculated volume comes out at 13.4 Å³/atom.

Cell lengths 6.3153, 6.3153, 16.2854 Å; angles 90.00, 90.00, 120.00 degrees
Space group R-3 (No. 148, hexagonal axes)
Inequivalent atoms, fractional coordinates:
Zn  0.0000  0.0000  0.0772 x6
Ni  0.0545  0.2471  0.6426 x18
Rh  0.0431  0.7748  0.2074 x18


7.
The following is a DFT calculation (PBE-GGA) of a relaxed structure of Zn5NiRh6.

Its total magnetic moment is 1.55 Bohr magnetons per cell. The energy relative to the elements is -0.289 eV/atom. The calculated volume comes out at 13.7 Å³/atom.

Cell lengths 4.264, 6.038, 12.769 Å; angles 90.00, 90.00, 90.00 degrees
Space group Immm (No. 71)
Inequivalent atoms, fractional coordinates:
Zn  0.000  0.000  0.000 x2
Zn  0.000  0.000  0.333 x4
Zn  0.000  0.500  0.333 x4
Ni  0.000  0.500  0.000 x2
Rh  0.000  0.246  0.500 x4
Rh  0.000  0.252  0.164 x8


8.
The following is a DFT calculation (PBE-GGA) of a relaxed structure of Zn2NiRh.

Its total magnetic moment is 0.00 Bohr magnetons per cell. The energy relative to the elements is -0.334 eV/atom. The calculated volume comes out at 13.0 Å³/atom.

Cell lengths 2.990, 2.990, 5.818 Å; angles 90.00, 90.00, 90.00 degrees
Space group P4/mmm (No. 123)
Inequivalent atoms, fractional coordinates:
Zn  0.000  0.000  0.239 x2
Ni  0.500  0.500  0.000 x1
Rh  0.500  0.500  0.500 x1